(1)
## ZrNiSnS3 (PBE-GGA)

Data for a geometry-optimized ZrNiSnS3 structure.

```
ZrNiSnS3
1.0
7.958 0.000 0.000
0.000 3.686 0.000
-2.680 0.000 8.597
Zr Ni Sn S
2 2 2 6
Direct
0.177 0.250 0.160
0.823 0.750 0.840
0.434 0.750 0.383
0.566 0.250 0.617
0.330 0.750 0.696
0.670 0.250 0.304
0.056 0.250 0.851
0.274 0.250 0.454
0.393 0.750 0.126
0.607 0.250 0.874
0.726 0.750 0.546
0.944 0.750 0.149
```

Computed properties:
The value obtained for the calculated total energy is -6.016 eV/atom. For the uncorrected formation energy, the calculation gives -0.896 eV per atom.



(2)
## SrNi2S (PBE-GGA)

Data for a geometry-optimized SrNi2S structure.

```
SrNi2S
1.0
2.515 -3.298 0.000
2.515 3.298 0.000
-0.530 0.000 4.686
Sr Ni S
1 2 1
Direct
0.000 0.000 0.000
0.088 0.508 0.521
0.508 0.088 0.521
0.606 0.606 0.441
```

Computed properties:
The value obtained for the calculated total energy is -4.926 eV/atom. For the uncorrected formation energy, the calculation gives -0.583 eV per atom.



(3)
## SrNi2S (PBE-GGA)

Data for a geometry-optimized SrNi2S structure.

```
SrNi2S
1.0
5.891 -2.000 0.000
5.891 2.000 0.000
-0.201 0.000 6.756
Sr Ni S
2 4 2
Direct
0.113 0.113 0.299
0.887 0.887 0.701
0.156 0.156 0.776
0.297 0.297 0.042
0.703 0.703 0.958
0.844 0.844 0.224
0.402 0.402 0.318
0.598 0.598 0.682
```

Computed properties:
The value obtained for the calculated total energy is -4.987 eV/atom. For the uncorrected formation energy, the calculation gives -0.644 eV per atom.